Entry 1:
The following is a DFT calculation (PBE) of an optimized crystal structure of Li2Th2Ni15.

Structure (CIF):
```
data_Li2Th2Ni15
_cell_length_a 8.3784
_cell_length_b 8.3784
_cell_length_c 12.2063
_cell_angle_alpha 90.00
_cell_angle_beta 90.00
_cell_angle_gamma 120.00
_space_group_name_H-M_alt 'R -3 m'
_space_group_IT_number 166
_space_group_name_Hall '-R 3 2"'
loop_
_atom_site_label
_atom_site_type_symbol
_atom_site_fract_x
_atom_site_fract_y
_atom_site_fract_z
Li1 Li 0.0000 0.0000 0.0905
Th1 Th 0.0000 0.0000 0.3414
Ni1 Ni 0.0000 0.3048 0.0000
Ni2 Ni 0.0000 0.5000 0.1582
Ni3 Ni 0.0000 0.5000 0.5000
```

***

Entry 2:
The following is a DFT calculation (PBE) of an optimized crystal structure of LiTh2Ni9.

Structure (CIF):
```
data_LiTh2Ni9
_cell_length_a 4.9820
_cell_length_b 4.9820
_cell_length_c 24.3981
_cell_angle_alpha 90.00
_cell_angle_beta 90.00
_cell_angle_gamma 120.00
_space_group_name_H-M_alt 'R -3 m'
_space_group_IT_number 166
_space_group_name_Hall '-R 3 2"'
loop_
_atom_site_label
_atom_site_type_symbol
_atom_site_fract_x
_atom_site_fract_y
_atom_site_fract_z
Li1 Li 0.0000 0.0000 0.0000
Th1 Th 0.0000 0.0000 0.1315
Ni1 Ni 0.0000 0.0000 0.3330
Ni2 Ni 0.0000 0.0000 0.5000
Ni3 Ni 0.0017 0.5009 0.9192
```

***

Entry 3:
The following is a DFT calculation (PBE) of an optimized crystal structure of LiThNi.

Structure (CIF):
```
data_LiThNi
_cell_length_a 10.081
_cell_length_b 3.814
_cell_length_c 7.325
_cell_angle_alpha 90.00
_cell_angle_beta 120.36
_cell_angle_gamma 90.00
_space_group_name_H-M_alt 'C 1 2/m 1'
_space_group_IT_number 12
loop_
_space_group_symop_operation_xyz
'x,y,z'
'-x,-y,-z'
'-x,y,-z'
'x,-y,z'
'x+1/2,y+1/2,z'
'-x+1/2,-y+1/2,-z'
'-x+1/2,y+1/2,-z'
'x+1/2,-y+1/2,z'
loop_
_atom_site_label
_atom_site_type_symbol
_atom_site_fract_x
_atom_site_fract_y
_atom_site_fract_z
Li1 Li 0.195 0.000 0.072
Th1 Th 0.071 0.500 0.325
Ni1 Ni 0.141 0.000 0.653
```

***

no.,Fermi-level density of states (states/eV per atom),volume (Å³/cell),ΔH_f (0 K) (eV/atom)
1,1.15,742,-0.27
2,1.07,524,-0.23
3,0.82,243,-0.18